(1)
Compound: K3SiAu
Source: Alexandria
Functional: PBE
Structure: optimized geometry

Cell: 7.6792 7.6792 8.1003 Å, 115.72 115.72 83.23°
With the nearest neighbours (Å) after each atom.
Atoms (fractional coordinates):
K (0.0501, 0.0501, 0.2691)  2 Au 3.49-3.54, 1 Si 3.52, 3 K 3.81-3.85
K (0.0940, 0.4799, 0.7980)  2 Au 3.38-3.48, 1 Si 3.70
K (0.4799, 0.0940, 0.7980)  2 Au 3.38-3.48, 1 Si 3.70
K (0.5201, 0.9060, 0.2020)  2 Au 3.38-3.48, 1 Si 3.70
K (0.9060, 0.5201, 0.2020)  2 Au 3.38-3.48, 1 Si 3.70
K (0.9499, 0.9499, 0.7309)  2 Au 3.49-3.54, 1 Si 3.52, 3 K 3.81-3.85
Si (0.4266, 0.4266, 0.5614)  1 Si 2.40, 2 Au 2.52-2.64
Si (0.5734, 0.5734, 0.4386)  1 Si 2.40, 2 Au 2.52-2.64
Au (0.3074, 0.3074, 0.1684)  2 Si 2.52-2.64
Au (0.6926, 0.6926, 0.8316)  2 Si 2.52-2.64

Output
energy above the most stable polymorph in this dataset = 0 meV per atom
density of states at the Fermi level = 7.1 states/eV per cell

***

(2)
Compound: K2SiAu2
Source: Alexandria
Functional: PBE
Structure: optimized geometry

Cell: 6.8015 6.8015 5.5467 Å, 90.00 90.00 90.00°
With the nearest neighbours (Å) after each atom.
Atoms (fractional coordinates):
K (0.1714, 0.3286, 0.0000)  6 Au 3.24-3.55, 5 K 3.30-3.56
K (0.3286, 0.8286, 0.0000)  6 Au 3.24-3.55, 5 K 3.30-3.56
K (0.6714, 0.1714, 0.0000)  6 Au 3.24-3.55, 5 K 3.30-3.56
K (0.8286, 0.6714, 0.0000)  6 Au 3.24-3.55, 5 K 3.30-3.56
Si (0.0000, 0.0000, 0.5000)  4 Au 2.57
Si (0.5000, 0.5000, 0.5000)  4 Au 2.57
Au (0.1550, 0.6550, 0.5000)  2 Si 2.57
Au (0.3450, 0.1550, 0.5000)  2 Si 2.57
Au (0.6550, 0.8450, 0.5000)  2 Si 2.57
Au (0.8450, 0.3450, 0.5000)  2 Si 2.57

Output
energy above the most stable polymorph in this dataset = 107 meV per atom
density of states at the Fermi level = 2.5 states/eV per cell

***

(3)
Compound: KSiAu
Source: Alexandria
Functional: PBE
Structure: optimized geometry

Cell: 6.7409 5.1939 8.7041 Å, 90.00 90.00 90.00°
With the nearest neighbours (Å) after each atom.
Atoms (fractional coordinates):
K (0.0009, 0.2500, 0.1321)  4 Au 3.26, 2 K 3.47, 1 Si 3.56
K (0.4991, 0.7500, 0.6321)  4 Au 3.26, 2 K 3.47, 1 Si 3.56
K (0.5009, 0.2500, 0.3679)  4 Au 3.26, 2 K 3.47, 1 Si 3.56
K (0.9991, 0.7500, 0.8679)  4 Au 3.26, 2 K 3.47, 1 Si 3.56
Si (0.0001, 0.2500, 0.5412)  2 Au 2.48, 2 Si 2.69
Si (0.9999, 0.7500, 0.4588)  2 Au 2.48, 2 Si 2.69
Si (0.5001, 0.2500, 0.9588)  2 Au 2.48, 2 Si 2.69
Si (0.4999, 0.7500, 0.0412)  2 Au 2.48, 2 Si 2.69
Au (0.2496, 0.2500, 0.7504)  2 Si 2.48
Au (0.2504, 0.7500, 0.2504)  2 Si 2.48
Au (0.7496, 0.2500, 0.7496)  2 Si 2.48
Au (0.7504, 0.7500, 0.2496)  2 Si 2.48

Output
density of states at the Fermi level = 3.2 states/eV per cell

***

(4)
Compound: KSi2Au
Source: Alexandria
Functional: PBE
Structure: optimized geometry

Cell: 9.4763 9.4763 9.4763 Å, 150.13 150.13 42.75°
With the nearest neighbours (Å) after each atom.
Atoms (fractional coordinates):
K (0.3750, 0.6250, 0.7500)  4 Au 3.45, 8 Si 3.51
K (0.6250, 0.3750, 0.2500)  4 Au 3.45, 8 Si 3.51
Si (0.0000, 0.0000, 0.0000)  2 Si 2.44, 2 Au 2.52
Si (0.0000, 0.0000, 0.5000)  2 Si 2.44, 2 Au 2.52
Si (0.0000, 0.5000, 0.0000)  2 Si 2.44, 2 Au 2.52
Si (0.5000, 0.0000, 0.5000)  2 Si 2.44, 2 Au 2.52
Au (0.1250, 0.8750, 0.2500)  4 Si 2.52
Au (0.8750, 0.1250, 0.7500)  4 Si 2.52

Output
energy above the most stable polymorph in this dataset = 138 meV per atom
density of states at the Fermi level = 1.8 states/eV per cell

***

(5)
Compound: K2Si2Au
Source: Alexandria
Functional: PBE
Structure: optimized geometry

Cell: 5.8953 5.8953 5.8953 Å, 109.46 109.46 109.50°
With the nearest neighbours (Å) after each atom.
Atoms (fractional coordinates):
K (0.2500, 0.7500, 0.5000)  2 K 3.40, 4 Si 3.46, 4 Au 3.81
K (0.7500, 0.2500, 0.5000)  2 K 3.40, 4 Si 3.46, 4 Au 3.81
Si (0.1576, 0.1576, 0.0000)  1 Si 2.15, 1 Au 2.33
Si (0.8424, 0.8424, 0.0000)  1 Si 2.15, 1 Au 2.33
Au (0.5000, 0.5000, 0.0000)  2 Si 2.33

Output
energy above the most stable polymorph in this dataset = 135 meV per atom
density of states at the Fermi level = 2.8 states/eV per cell

***

(6)
Compound: KSi2Au
Source: Alexandria
Functional: PBE
Structure: optimized geometry

Cell: 3.5700 3.5700 7.2499 Å, 90.00 90.00 90.00°
With the nearest neighbours (Å) after each atom.
Atoms (fractional coordinates):
K (0.0000, 0.0000, 0.0000)  8 Si 3.53, 4 K 3.57, 2 Au 3.62
Si (0.5000, 0.5000, 0.3398)  1 Si 2.32
Si (0.5000, 0.5000, 0.6602)  1 Si 2.32
Au (0.0000, 0.0000, 0.5000)  8 Si 2.78

Output
energy above the most stable polymorph in this dataset = 199 meV per atom
density of states at the Fermi level = 1.4 states/eV per cell

***

(7)
Compound: KSiAu
Source: Alexandria
Functional: PBE
Structure: optimized geometry

Cell: 5.1171 5.1171 5.1171 Å, 60.00 60.00 60.00°
With the nearest neighbours (Å) after each atom.
Atoms (fractional coordinates):
K (0.0000, 0.0000, 0.0000)  4 Si 3.13, 4 Au 3.13
Si (0.7500, 0.7500, 0.7500)  4 K 3.13
Au (0.2500, 0.2500, 0.2500)  4 K 3.13

Output
density of states at the Fermi level = 2.2 states/eV per cell

***

(8)
Compound: K3SiAu3
Source: Alexandria
Functional: PBE
Structure: optimized geometry

Cell: 6.4821 6.4821 6.4821 Å, 108.60 108.60 108.60°
With the nearest neighbours (Å) after each atom.
Atoms (fractional coordinates):
K (0.2011, 0.2011, 0.5978)  6 Au 3.36-3.48, 1 Si 3.67
K (0.2011, 0.5978, 0.2011)  6 Au 3.36-3.48, 1 Si 3.67
K (0.5978, 0.2011, 0.2011)  6 Au 3.36-3.48, 1 Si 3.67
Si (0.7429, 0.7429, 0.7429)  3 Au 2.42
Au (0.0930, 0.7084, 0.7084)  1 Si 2.42
Au (0.7084, 0.0930, 0.7084)  1 Si 2.42
Au (0.7084, 0.7084, 0.0930)  1 Si 2.42

Output
density of states at the Fermi level = 3.1 states/eV per cell

***

(9)
Compound: KSi2Au
Source: Alexandria
Functional: PBE
Structure: optimized geometry

Cell: 6.1607 6.1607 6.1607 Å, 153.27 121.91 65.06°
With the nearest neighbours (Å) after each atom.
Atoms (fractional coordinates):
K (0.0000, 0.0000, 0.0000)  2 K 2.85
Si (0.2894, 0.7894, 0.5000)  2 Au 2.61, 2 Si 2.85
Si (0.7106, 0.2106, 0.5000)  2 Au 2.61, 2 Si 2.85
Au (0.5000, 0.5000, 0.0000)  4 Si 2.61, 2 Au 2.85

Output
energy above the most stable polymorph in this dataset = 306 meV per atom
density of states at the Fermi level = 1.1 states/eV per cell

***

(10)
Compound: KSi2Au
Source: Alexandria
Functional: PBE
Structure: optimized geometry

Cell: 3.3333 3.3333 7.7427 Å, 90.00 90.00 90.00°
With the nearest neighbours (Å) after each atom.
Atoms (fractional coordinates):
K (0.0000, 0.0000, 0.0000)  4 K 3.33, 5 Si 3.46-3.73, 4 Au 3.49
Si (0.0000, 0.0000, 0.4812)  4 Si 2.64, 4 Au 2.76
Si (0.5000, 0.5000, 0.3268)  1 Au 2.63, 4 Si 2.64
Au (0.5000, 0.5000, 0.6670)  5 Si 2.63-2.76

Output
energy above the most stable polymorph in this dataset = 246 meV per atom
density of states at the Fermi level = 0.9 states/eV per cell

***

(11)
Compound: KSiAu
Source: Alexandria
Functional: PBE
Structure: optimized geometry

Cell: 5.2416 3.9192 8.0360 Å, 90.00 90.16 90.00°
With the nearest neighbours (Å) after each atom.
Atoms (fractional coordinates):
K (0.0000, 0.2500, 0.2454)  4 Au 3.42, 6 Si 3.57-3.74
K (0.0000, 0.7500, 0.7546)  4 Au 3.42, 6 Si 3.57-3.74
Si (0.4999, 0.2500, 0.5771)  2 Si 2.32, 1 Au 2.41
Si (0.5001, 0.7500, 0.4229)  2 Si 2.32, 1 Au 2.41
Au (0.5003, 0.2500, 0.8773)  1 Si 2.41
Au (0.4997, 0.7500, 0.1227)  1 Si 2.41

Output
density of states at the Fermi level = 3.2 states/eV per cell

***

(12)
Compound: KSiAu4
Source: Alexandria
Functional: PBE
Structure: optimized geometry

Cell: 7.1497 7.1497 6.7770 Å, 91.48 91.48 52.24°
With the nearest neighbours (Å) after each atom.
Atoms (fractional coordinates):
K (0.2133, 0.2133, 0.3497)  8 Au 3.35-3.55
K (0.7867, 0.7867, 0.6503)  8 Au 3.35-3.55
Si (0.4634, 0.4634, 0.7913)  5 Au 2.42-2.57
Si (0.5366, 0.5366, 0.2087)  5 Au 2.42-2.57
Au (0.1267, 0.6870, 0.1231)  1 Si 2.48, 2 Au 2.77
Au (0.2530, 0.7470, 0.5000)  2 Si 2.57, 2 Au 2.80
Au (0.2798, 0.2798, 0.8623)  1 Si 2.42
Au (0.3130, 0.8733, 0.8769)  1 Si 2.48, 2 Au 2.77
Au (0.6870, 0.1267, 0.1231)  1 Si 2.48, 2 Au 2.77
Au (0.7202, 0.7202, 0.1377)  1 Si 2.42
Au (0.7470, 0.2530, 0.5000)  2 Si 2.57, 2 Au 2.80
Au (0.8733, 0.3130, 0.8769)  1 Si 2.48, 2 Au 2.77

Output
energy above the most stable polymorph in this dataset = 0 meV per atom
density of states at the Fermi level = 1.3 states/eV per cell

***

We obtain E_form (uncorrected) values of 0.12; -0.60; -0.49; 0.40; 0.54; 0.64; 3.05; -0.75; 1.07; 0.83; -0.47; -1.07 eV/f.u. for the records listed above, in that order.
We obtain theoretical density values of 2.9; 6.5; 5.8; 4.6; 3.5; 5.3; 4.6; 5.7; 5.5; 5.6; 5.3; 10.4 g/cm3 for the records listed above, in that order.